Material: BeSbCI2
Method: DFT, GGA-PBE
State: optimized geometry

Unit cell a=5.113 b=5.113 c=4.670 alpha=90.00 beta=90.00 gamma=90.00
Space group P4/mmm (No. 123)
Asymmetric unit:
1 Be 0.000 0.000 0.000 [1 per cell]
2 Sb 0.500 0.500 0.000 [1 per cell]
3 C 0.500 0.500 0.500 [1 per cell]
4 I 0.000 0.500 0.500 [2 per cell]

Properties
Uncorrected formation energy, eV per atom: 1.51
Theoretical density, Mg/m³: 5.39
D(E_F), states/eV per cell: 2.900